! CoSnNO (GGA+U, optimized geometry); values from VASP
! Symmetry ... Pca2_1
! Relative energy among the computed polymorphs ... 0.00 eV per formula unit
! Spin magnetization ... 8.00 μB/cell
! Electronic total energy ... -5.84 eV per atom
&SYSTEM
  ibrav = 0, nat = 16, ntyp = 4
/
ATOMIC_SPECIES
Co 58.93 Co.upf
Sn 118.71 Sn.upf
N 14.01 N.upf
O 16.00 O.upf
ATOMIC_POSITIONS crystal
Co 0.064 0.080 0.000
Co 0.436 0.080 0.500
Co 0.564 0.920 0.000
Co 0.936 0.920 0.500
Sn 0.029 0.664 0.015
Sn 0.471 0.664 0.515
Sn 0.529 0.336 0.015
Sn 0.971 0.336 0.515
N 0.110 0.099 0.625
N 0.390 0.099 0.125
N 0.610 0.901 0.625
N 0.890 0.901 0.125
O 0.111 0.734 0.619
O 0.389 0.734 0.119
O 0.611 0.266 0.619
O 0.889 0.266 0.119
CELL_PARAMETERS angstrom
5.494 0.000 0.000
0.000 8.394 0.000
0.000 0.000 5.021